Model a:
{
  "formula": "Al2ReNi2",
  "functional": "PBE",
  "state": "relaxed",
  "magmom_total_mub_per_atom": 0.000,
  "lattice_angstrom": [[6.9396, 0.0000, 0.0000], [0.0000, 6.9396, 0.0000], [0.0000, 0.0000, 2.6467]],
  "species": ["Re", "Re", "Al", "Al", "Al", "Al", "Ni", "Ni", "Ni", "Ni"],
  "frac_coords": [[0.0000, 0.0000, 0.0000], [0.5000, 0.5000, 0.0000], [0.3587, 0.8587, 0.0000], [0.8587, 0.6413, 0.0000], [0.6413, 0.1413, 0.0000], [0.1413, 0.3587, 0.0000], [0.1562, 0.6562, 0.5000], [0.6562, 0.8438, 0.5000], [0.8438, 0.3438, 0.5000], [0.3438, 0.1562, 0.5000]]
}


Model b:
{
  "formula": "Al2ReNi2",
  "functional": "PBE",
  "state": "relaxed",
  "magmom_total_mub_per_atom": 0.000,
  "lattice_angstrom": [[6.9635, 0.0000, 0.0000], [0.0000, 6.9635, 0.0000], [0.0000, 0.0000, 2.6374]],
  "species": ["Re", "Re", "Al", "Al", "Al", "Al", "Ni", "Ni", "Ni", "Ni"],
  "frac_coords": [[0.0000, 0.0000, 0.0000], [0.5000, 0.5000, 0.0000], [0.1711, 0.6711, 0.5000], [0.6711, 0.8289, 0.5000], [0.8289, 0.3289, 0.5000], [0.3289, 0.1711, 0.5000], [0.3747, 0.8747, 0.0000], [0.8747, 0.6253, 0.0000], [0.6253, 0.1253, 0.0000], [0.1253, 0.3747, 0.0000]]
}


Short version: model a is the most stable of them.


Model a:
{
  "formula": "AlNi6Rh",
  "functional": "PBE",
  "state": "relaxed",
  "magmom_total_mub_per_atom": 0.266,
  "lattice_angstrom": [[6.5820, 0.0009, 1.4705], [3.1260, 5.7924, 1.4703], [2.7133, 1.6193, 3.3201]],
  "species": ["Al", "Ni", "Ni", "Ni", "Ni", "Ni", "Ni", "Rh"],
  "frac_coords": [[0.0000, 0.0000, 0.0000], [0.9686, 0.2505, 0.2411], [0.2505, 0.5399, 0.2411], [0.4601, 0.0314, 0.7589], [0.7495, 0.4601, 0.7589], [0.0314, 0.7495, 0.7589], [0.5399, 0.9686, 0.2411], [0.5000, 0.5000, 0.5000]]
}


Model b:
{
  "formula": "AlNi6Rh",
  "functional": "PBE",
  "state": "relaxed",
  "magmom_total_mub_per_atom": 0.393,
  "lattice_angstrom": [[6.2261, 0.0020, 0.0000], [-2.0902, 5.8648, 0.0000], [0.0000, 0.0000, 10.1706]],
  "species": ["Al", "Al", "Al", "Al", "Ni", "Ni", "Ni", "Ni", "Ni", "Ni", "Ni", "Ni", "Ni", "Ni", "Ni", "Ni", "Ni", "Ni", "Ni", "Ni", "Ni", "Ni", "Ni", "Ni", "Ni", "Ni", "Ni", "Ni", "Rh", "Rh", "Rh", "Rh"],
  "frac_coords": [[0.2496, 0.7504, 0.7500], [0.7504, 0.2496, 0.7500], [0.5000, 0.5000, 0.5022], [0.5000, 0.5000, 0.9978], [0.2510, 0.7490, 0.5018], [0.8742, 0.6231, 0.6267], [0.1258, 0.3769, 0.6267], [0.7490, 0.2510, 0.5018], [0.3769, 0.1258, 0.6267], [0.6231, 0.8742, 0.6267], [0.5000, 0.5000, 0.2500], [0.1277, 0.3763, 0.3773], [0.3763, 0.1277, 0.3773], [0.2510, 0.7490, 0.9982], [0.8723, 0.6237, 0.1227], [0.1277, 0.3763, 0.1227], [0.7490, 0.2510, 0.9982], [0.3763, 0.1277, 0.1227], [0.6237, 0.8723, 0.1227], [0.5000, 0.5000, 0.7500], [0.1258, 0.3769, 0.8733], [0.3769, 0.1258, 0.8733], [0.0000, 0.0000, 0.2500], [0.6237, 0.8723, 0.3773], [0.8723, 0.6237, 0.3773], [0.0000, 0.0000, 0.7500], [0.6231, 0.8742, 0.8733], [0.8742, 0.6231, 0.8733], [0.2506, 0.7494, 0.2500], [0.7494, 0.2506, 0.2500], [0.0000, 0.0000, 0.5011], [0.0000, 0.0000, 0.9989]]
}


Short version: model b is the most stable of them.


Model a:
{
  "formula": "Al3NiRh",
  "functional": "PBE",
  "state": "relaxed",
  "magmom_total_mub_per_atom": 0.000,
  "lattice_angstrom": [[4.6010, 0.0000, 0.0000], [0.0000, 4.6010, 0.0000], [0.0000, 0.0000, 4.6010]],
  "species": ["Ni", "Rh", "Al", "Al", "Al"],
  "frac_coords": [[0.5000, 0.5000, 0.5000], [0.0000, 0.0000, 0.0000], [0.0000, 0.5000, 0.0000], [0.0000, 0.0000, 0.5000], [0.5000, 0.0000, 0.0000]]
}


Model b:
{
  "formula": "Al3NiRh",
  "functional": "PBE",
  "state": "relaxed",
  "magmom_total_mub_per_atom": 0.000,
  "lattice_angstrom": [[-2.9056, 0.6598, 3.1755], [-3.2231, -0.1113, -2.9259], [-0.3622, -4.3028, 0.5626]],
  "species": ["Ni", "Rh", "Al", "Al", "Al"],
  "frac_coords": [[0.0000, 0.0000, 0.0000], [0.5000, 0.5000, 0.5000], [0.0000, 0.5000, 0.0000], [0.0000, 0.0000, 0.5000], [0.5000, 0.0000, 0.0000]]
}


Short version: model b is the most stable of them.